No. 1
# LiCeNiBi (GGA-PBE, optimized geometry)
# Energy of formation: -0.33 eV per atom
data_LiCeNiBi
_cell_length_a 6.8117
_cell_length_b 6.8117
_cell_length_c 6.8117
_cell_angle_alpha 90.00
_cell_angle_beta 90.00
_cell_angle_gamma 90.00
_space_group_name_H-M_alt 'F -4 3 m'
_space_group_IT_number 216
_space_group_name_Hall 'F -4 2 3'
loop_
_atom_site_label
_atom_site_type_symbol
_atom_site_fract_x
_atom_site_fract_y
_atom_site_fract_z
Li1 Li 0.0000 0.0000 0.0000
Ce1 Ce 0.2500 0.2500 0.2500
Ni1 Ni 0.0000 0.0000 0.5000
Bi1 Bi 0.2500 0.2500 0.7500


No. 2
# Li2CeBiO (GGA-PBE, optimized geometry)
# E_form (uncorrected): -1.28 eV/atom
data_Li2CeBiO
_cell_length_a 3.4999
_cell_length_b 12.9127
_cell_length_c 7.9667
_cell_angle_alpha 90.00
_cell_angle_beta 90.00
_cell_angle_gamma 90.00
_space_group_name_H-M_alt 'C m c m'
_space_group_IT_number 63
_space_group_name_Hall '-C 2c 2'
loop_
_atom_site_label
_atom_site_type_symbol
_atom_site_fract_x
_atom_site_fract_y
_atom_site_fract_z
Li1 Li 0.0000 0.1452 0.0352
Ce1 Ce 0.0000 0.4800 0.2500
Bi1 Bi 0.0000 0.2561 0.7500
O1 O 0.0000 0.0000 0.0000


No. 3
# Li2Ce2Bi2O (GGA-PBE, optimized geometry)
# E_form (uncorrected): -1.27 eV/atom
data_Li2Ce2Bi2O
_cell_length_a 4.5952
_cell_length_b 4.5952
_cell_length_c 15.6809
_cell_angle_alpha 90.00
_cell_angle_beta 90.00
_cell_angle_gamma 90.00
_space_group_name_H-M_alt 'I 4/m m m'
_space_group_IT_number 139
_space_group_name_Hall '-I 4 2'
loop_
_atom_site_label
_atom_site_type_symbol
_atom_site_fract_x
_atom_site_fract_y
_atom_site_fract_z
Li1 Li 0.0000 0.5000 0.0000
Ce1 Ce 0.0000 0.0000 0.1460
Bi1 Bi 0.0000 0.0000 0.3639
O1 O 0.0000 0.0000 0.0000


Number 2 is which compound?
Li2CeBiO


Copy entry 1 word for word.
# LiCeNiBi (GGA-PBE, optimized geometry)
# Energy of formation: -0.33 eV per atom
data_LiCeNiBi
_cell_length_a 6.8117
_cell_length_b 6.8117
_cell_length_c 6.8117
_cell_angle_alpha 90.00
_cell_angle_beta 90.00
_cell_angle_gamma 90.00
_space_group_name_H-M_alt 'F -4 3 m'
_space_group_IT_number 216
_space_group_name_Hall 'F -4 2 3'
loop_
_atom_site_label
_atom_site_type_symbol
_atom_site_fract_x
_atom_site_fract_y
_atom_site_fract_z
Li1 Li 0.0000 0.0000 0.0000
Ce1 Ce 0.2500 0.2500 0.2500
Ni1 Ni 0.0000 0.0000 0.5000
Bi1 Bi 0.2500 0.2500 0.7500